1.
VASP calculation (PBE+U) on Ga2MoNO after structural relaxation.

Values from the calculation:
M_tot = 1.06 μB per cell
Uncorrected energy = -21.5 eV for the cell shown
Crystal system = tetragonal

abc: 4.062 4.062 3.987
angles: 90.00 90.00 90.00
Fractional coordinates of all 5 atoms:
Ga1 0.000 0.500 0.000
Ga2 0.500 0.000 0.000
Mo1 0.000 0.000 0.500
N1 0.500 0.500 0.500
O1 0.500 0.500 0.000



2.
VASP calculation (PBE+U) on GaMoNO2 after structural relaxation.

Values from the calculation:
M_tot = 2.00 μB per cell
Uncorrected energy = -28.7 eV for the cell shown
Crystal system = tetragonal

abc: 3.824 3.824 3.909
angles: 90.00 90.00 90.00
Fractional coordinates of all 5 atoms:
Ga1 0.000 0.000 0.000
Mo1 0.500 0.500 0.500
N1 0.000 0.000 0.500
O1 0.000 0.500 0.000
O2 0.500 0.000 0.000



3.
VASP calculation (PBE+U) on GaMoNO2 after structural relaxation.

Values from the calculation:
M_tot = 0.12 μB per cell
Uncorrected energy = -31.0 eV for the cell shown
Crystal system = tetragonal

abc: 3.956 3.956 4.018
angles: 90.00 90.00 90.00
Fractional coordinates of all 5 atoms:
Ga1 0.000 0.000 0.000
Mo1 0.500 0.500 0.500
N1 0.500 0.500 0.000
O1 0.000 0.500 0.500
O2 0.500 0.000 0.500